{
  "formula": "Na3Pu2PaTe6",
  "functional": "PBE",
  "state": "optimized geometry",
  "cell": [[-7.067, 3.142, -0.631], [2.536, -4.962, -5.400], [-1.391, -5.135, 5.925]],
  "species": ["Na", "Na", "Na", "Pu", "Pu", "Pa", "Te", "Te", "Te", "Te", "Te", "Te"],
  "frac_coords": [[0.168, 0.832, 0.500], [0.832, 0.168, 0.500], [0.500, 0.500, 0.500], [0.333, 0.667, 0.000], [0.667, 0.333, 0.000], [0.000, 0.000, 0.000], [0.921, 0.596, 0.764], [0.753, 0.753, 0.235], [0.079, 0.404, 0.236], [0.596, 0.921, 0.764], [0.247, 0.247, 0.765], [0.404, 0.079, 0.236]],
  "crystal_system": "monoclinic",
  "raw_formation_energy_ev_per_atom": -1.009,
  "m_tot_mub_per_cell": 12.00,
  "volume_a3_per_atom": 32.73,
  "final_energy_ev_per_atom": -6.090,
  "dos_ef_per_ev_fu": 32.44
}